Ge2H2Pb | PBE | optimized geometry

Geometry as POSCAR:
```
Ge2H2Pb
1.0
-1.888 1.888 5.542
1.888 -1.888 5.542
1.888 1.888 -5.542
Ge H Pb
2 2 1
direct
0.250 0.750 0.500
0.750 0.250 0.500
0.107 0.107 0.000
0.893 0.893 0.000
0.500 0.500 0.000
```

- ΔE to the lowest computed polymorph (meV/atom) = 34
- M_tot (μB per formula unit) = 0.00
- calculated total energy (eV for the cell shown) = -16.56
- space-group type = I4/mmm
- calculated density (Mg/m³) = 7.45


GeHPd2Pb | PBE | optimized geometry

Geometry as POSCAR:
```
GeHPd2Pb
1.0
5.200 0.000 0.000
0.000 5.200 0.000
0.000 0.000 5.438
Ge H Pd Pb
1 1 2 1
direct
0.000 0.000 0.000
0.500 0.500 0.000
0.000 0.500 0.500
0.500 0.000 0.500
0.000 0.000 0.500
```

- M_tot (μB per formula unit) = 0.85
- calculated total energy (eV for the cell shown) = -15.61
- space-group type = P4/mmm
- calculated density (Mg/m³) = 5.58


GeHPd6Pb2 | PBE | optimized geometry

Geometry as POSCAR:
```
GeHPd6Pb2
1.0
4.890 -2.887 0.000
4.890 2.887 0.000
-3.096 0.000 5.969
Ge H Pd Pb
1 1 6 2
direct
0.000 0.000 0.000
0.500 0.500 0.500
0.187 0.692 0.660
0.284 0.284 0.244
0.308 0.813 0.340
0.692 0.187 0.660
0.716 0.716 0.756
0.813 0.308 0.340
0.242 0.242 0.788
0.758 0.758 0.212
```

- M_tot (μB per formula unit) = 0.00
- calculated total energy (eV for the cell shown) = -49.00
- space-group type = C2/m
- calculated density (Mg/m³) = 11.10